No. 1
Entry from the Open Quantum Materials Database: Gd2YMg3Al2Hg after structural relaxation (PBE).

```
data_Gd2YMg3Al2Hg
_space_group_name_H-M_alt 'A m m 2'
_space_group_IT_number 38
_space_group_name_Hall 'A 2 -2'
_cell_length_a 4.537
_cell_length_b 12.876
_cell_length_c 7.461
_cell_angle_alpha 90.00
_cell_angle_beta 90.00
_cell_angle_gamma 90.00
loop_
_atom_site_label
_atom_site_type_symbol
_atom_site_fract_x
_atom_site_fract_y
_atom_site_fract_z
Gd1 Gd 0.000 0.212 0.000
Y1 Y 0.000 0.000 0.363
Mg1 Mg 0.500 0.000 0.032
Mg2 Mg 0.500 0.122 0.665
Al1 Al 0.500 0.166 0.288
Hg1 Hg 0.000 0.000 0.786
```

- Final energy: -3.51 eV/atom
- Size of the total moment: 0.02 μB per formula unit


No. 2
Entry from the Open Quantum Materials Database: TmMgTe2AuSe after structural relaxation (PBE).

```
data_TmMgTe2AuSe
_space_group_name_H-M_alt 'C m c m'
_space_group_IT_number 63
_space_group_name_Hall '-C 2c 2'
_cell_length_a 4.041
_cell_length_b 14.220
_cell_length_c 10.545
_cell_angle_alpha 90.00
_cell_angle_beta 90.00
_cell_angle_gamma 90.00
loop_
_atom_site_label
_atom_site_type_symbol
_atom_site_fract_x
_atom_site_fract_y
_atom_site_fract_z
Tm1 Tm 0.000 0.000 0.000
Mg1 Mg 0.000 0.253 0.250
Te1 Te 0.000 0.345 0.565
Au1 Au 0.000 0.480 0.750
Se1 Se 0.000 0.106 0.750
```

- Final energy: -3.97 eV/atom
- Size of the total moment: 0.00 μB per formula unit


No. 3
Entry from the Open Quantum Materials Database: ScZnCoGe after structural relaxation (PBE).

```
data_ScZnCoGe
_space_group_name_H-M_alt 'F -4 3 m'
_space_group_IT_number 216
_space_group_name_Hall 'F -4 2 3'
_cell_length_a 6.167
_cell_length_b 6.167
_cell_length_c 6.167
_cell_angle_alpha 90.00
_cell_angle_beta 90.00
_cell_angle_gamma 90.00
loop_
_atom_site_label
_atom_site_type_symbol
_atom_site_fract_x
_atom_site_fract_y
_atom_site_fract_z
Sc1 Sc 0.000 0.000 0.000
Zn1 Zn 0.250 0.250 0.750
Co1 Co 0.000 0.000 0.500
Ge1 Ge 0.250 0.250 0.250
```

- Size of the total moment: 0.16 μB per formula unit
- E above lowest polymorph: 0 meV/atom


No. 4
Entry from the Open Quantum Materials Database: Gd2SeOF2 after structural relaxation (PBE).

```
data_Gd2SeOF2
_space_group_name_H-M_alt 'P 63/m'
_space_group_IT_number 176
_space_group_name_Hall '-P 6c'
_cell_length_a 13.3569
_cell_length_b 13.3569
_cell_length_c 3.7545
_cell_angle_alpha 90.00
_cell_angle_beta 90.00
_cell_angle_gamma 120.00
loop_
_atom_site_label
_atom_site_type_symbol
_atom_site_fract_x
_atom_site_fract_y
_atom_site_fract_z
Gd1 Gd 0.0554 0.7674 0.2500
Gd2 Gd 0.1191 0.5159 0.2500
Se1 Se 0.2067 0.7188 0.7500
O1 O 0.0143 0.4263 0.7500
F1 F 0.0678 0.3151 0.2500
F2 F 0.0990 0.8950 0.7500
```

- Final energy: -6.98 eV/atom
- Size of the total moment: 0.00 μB per formula unit


No. 5
Entry from the Open Quantum Materials Database: Tc2IrOs after structural relaxation (PBE).

```
data_Tc2IrOs
_space_group_name_H-M_alt 'F -4 3 m'
_space_group_IT_number 216
_space_group_name_Hall 'F -4 2 3'
_cell_length_a 6.191
_cell_length_b 6.191
_cell_length_c 6.191
_cell_angle_alpha 90.00
_cell_angle_beta 90.00
_cell_angle_gamma 90.00
loop_
_atom_site_label
_atom_site_type_symbol
_atom_site_fract_x
_atom_site_fract_y
_atom_site_fract_z
Tc1 Tc 0.000 0.000 0.000
Tc2 Tc 0.250 0.250 0.250
Ir1 Ir 0.250 0.250 0.750
Os1 Os 0.000 0.000 0.500
```

- Formation enthalpy at 0 K: 0.460 eV/atom
- Size of the total moment: 0.01 μB per formula unit
- E above lowest polymorph: 654 meV/atom


No. 6
Entry from the Open Quantum Materials Database: MgRe after structural relaxation (PBE).

```
data_MgRe
_space_group_name_H-M_alt 'P 1 m 1'
_space_group_IT_number 6
_space_group_name_Hall 'P -2y'
_cell_length_a 5.082
_cell_length_b 4.605
_cell_length_c 7.406
_cell_angle_alpha 90.00
_cell_angle_beta 109.75
_cell_angle_gamma 90.00
loop_
_atom_site_label
_atom_site_type_symbol
_atom_site_fract_x
_atom_site_fract_y
_atom_site_fract_z
Mg1 Mg 0.000 0.000 0.000
Mg2 Mg 0.106 0.500 0.789
Mg3 Mg 0.314 0.500 0.206
Mg4 Mg 0.427 0.000 0.806
Mg5 Mg 0.620 0.000 0.193
Re1 Re 0.200 0.000 0.433
Re2 Re 0.540 0.500 0.610
Re3 Re 0.699 0.500 0.998
Re4 Re 0.769 0.000 0.567
Re5 Re 0.925 0.500 0.383
```

- Size of the total moment: 0.01 μB per formula unit
- E above lowest polymorph: 278 meV/atom


No. 7
Entry from the Open Quantum Materials Database: MgScSiIr after structural relaxation (PBE).

```
data_MgScSiIr
_space_group_name_H-M_alt 'F -4 3 m'
_space_group_IT_number 216
_space_group_name_Hall 'F -4 2 3'
_cell_length_a 6.300
_cell_length_b 6.300
_cell_length_c 6.300
_cell_angle_alpha 90.00
_cell_angle_beta 90.00
_cell_angle_gamma 90.00
loop_
_atom_site_label
_atom_site_type_symbol
_atom_site_fract_x
_atom_site_fract_y
_atom_site_fract_z
Mg1 Mg 0.000 0.000 0.000
Sc1 Sc 0.250 0.250 0.750
Si1 Si 0.250 0.250 0.250
Ir1 Ir 0.000 0.000 0.500
```

- Size of the total moment: 0.00 μB per formula unit
- E above lowest polymorph: 0 meV/atom


No. 8
Entry from the Open Quantum Materials Database: Dy2ErCo2B2N3 after structural relaxation (PBE).

```
data_Dy2ErCo2B2N3
_space_group_name_H-M_alt 'I 4/m m m'
_space_group_IT_number 139
_space_group_name_Hall '-I 4 2'
_cell_length_a 3.461
_cell_length_b 3.461
_cell_length_c 19.784
_cell_angle_alpha 90.00
_cell_angle_beta 90.00
_cell_angle_gamma 90.00
loop_
_atom_site_label
_atom_site_type_symbol
_atom_site_fract_x
_atom_site_fract_y
_atom_site_fract_z
Dy1 Dy 0.000 0.000 0.124
Er1 Er 0.000 0.000 0.500
Co1 Co 0.000 0.500 0.250
B1 B 0.000 0.000 0.307
N1 N 0.000 0.000 0.000
N2 N 0.000 0.000 0.383
```

- Final energy: -7.87 eV/atom
- Size of the total moment: 0.03 μB per formula unit


Repeat the second record exactly.
Entry from the Open Quantum Materials Database: TmMgTe2AuSe after structural relaxation (PBE).

```
data_TmMgTe2AuSe
_space_group_name_H-M_alt 'C m c m'
_space_group_IT_number 63
_space_group_name_Hall '-C 2c 2'
_cell_length_a 4.041
_cell_length_b 14.220
_cell_length_c 10.545
_cell_angle_alpha 90.00
_cell_angle_beta 90.00
_cell_angle_gamma 90.00
loop_
_atom_site_label
_atom_site_type_symbol
_atom_site_fract_x
_atom_site_fract_y
_atom_site_fract_z
Tm1 Tm 0.000 0.000 0.000
Mg1 Mg 0.000 0.253 0.250
Te1 Te 0.000 0.345 0.565
Au1 Au 0.000 0.480 0.750
Se1 Se 0.000 0.106 0.750
```

- Final energy: -3.97 eV/atom
- Size of the total moment: 0.00 μB per formula unit